Entry 1:
# Rb2CuBr5

Crystalline Rb2CuBr5 at its relaxed geometry (PBE, Alexandria).

offset from the most stable computed form = 0 meV/atom

Lattice parameters (Å, degrees): 7.2344 7.2344 7.2344 97.94 115.53 115.53
Atoms (fractional coordinates):
Br1 0.0000 0.7994 0.2371
Br2 0.4376 0.2371 0.2371
Br3 0.0000 0.2371 0.7994
Br4 0.5624 0.7994 0.7994
Br5 0.0000 0.6903 0.6903
Cu1 0.0000 0.9841 0.9841
Rb1 0.5000 0.7652 0.2652
Rb2 0.5000 0.2652 0.7652

***

Entry 2:
# AlFeSi2

Crystalline AlFeSi2 at its relaxed geometry (PBE, Alexandria).

final energy = -23.4 eV per cell

Lattice parameters (Å, degrees): 4.0053 3.0281 4.6273 70.89 90.00 90.00
Atoms (fractional coordinates):
Si1 0.5000 0.2204 0.1836
Si2 0.0000 0.8058 0.0133
Fe1 0.5000 0.9390 0.7470
Al1 0.0000 0.5348 0.5561

***

Entry 3:
# Ge3IrRh

Crystalline Ge3IrRh at its relaxed geometry (PBE, Alexandria).

offset from the most stable computed form = 861 meV/atom

Lattice parameters (Å, degrees): 4.7257 4.7257 4.7257 90.00 90.00 90.00
Atoms (fractional coordinates):
Ge1 0.5000 0.0000 0.0000
Ge2 0.0000 0.0000 0.5000
Ge3 0.0000 0.5000 0.0000
Rh1 0.5000 0.5000 0.5000
Ir1 0.0000 0.0000 0.0000

***

Entry 4:
# ScSnIr2

Crystalline ScSnIr2 at its relaxed geometry (PBE, Alexandria).

final energy = -56.2 eV per cell

Lattice parameters (Å, degrees): 4.2058 4.2058 9.2860 76.91 76.91 90.00
Atoms (fractional coordinates):
Ir1 0.8750 0.8486 0.7500
Ir2 0.3750 0.4014 0.7500
Ir3 0.1514 0.6250 0.2500
Ir4 0.5986 0.1250 0.2500
Sc1 0.5000 0.5000 0.0000
Sc2 0.2500 0.7500 0.5000
Sn1 0.0000 0.0000 0.0000
Sn2 0.7500 0.2500 0.5000

***

Entry 5:
# Sc2HgCl

Crystalline Sc2HgCl at its relaxed geometry (PBE, Alexandria).

offset from the most stable computed form = 66 meV/atom

Lattice parameters (Å, degrees): 5.6344 5.4427 12.3737 90.00 104.20 90.00
Atoms (fractional coordinates):
Cl1 0.9446 0.0000 0.6548
Cl2 0.0554 0.0000 0.3452
Cl3 0.0554 0.5000 0.8452
Cl4 0.9446 0.5000 0.1548
Hg1 0.6054 0.0000 0.9038
Hg2 0.6054 0.5000 0.4038
Hg3 0.3946 0.0000 0.0962
Hg4 0.3946 0.5000 0.5962
Sc1 0.4509 0.0000 0.6631
Sc2 0.9157 0.0000 0.1250
Sc3 0.0843 0.5000 0.3750
Sc4 0.9157 0.5000 0.6250
Sc5 0.5491 0.0000 0.3369
Sc6 0.4509 0.5000 0.1631
Sc7 0.0843 0.0000 0.8750
Sc8 0.5491 0.5000 0.8369

***

Entry 6:
# Ba5Na2InAu2

Crystalline Ba5Na2InAu2 at its relaxed geometry (PBE, Alexandria).

final energy = -50.9 eV per cell

Lattice parameters (Å, degrees): 4.3658 13.9982 13.9982 90.00 90.00 90.00
Atoms (fractional coordinates):
Ba1 0.5000 0.2985 0.5635
Ba2 0.5000 0.0000 0.5000
Ba3 0.5000 0.9365 0.2015
Ba4 0.5000 0.7015 0.4365
Ba5 0.5000 0.5000 0.0000
Ba6 0.5000 0.2015 0.0635
Ba7 0.5000 0.5635 0.7015
Ba8 0.5000 0.4365 0.2985
Ba9 0.5000 0.7985 0.9365
Ba10 0.5000 0.0635 0.7985
In1 0.0000 0.0000 0.0000
In2 0.0000 0.5000 0.5000
Au1 0.0000 0.1302 0.6302
Au2 0.0000 0.8698 0.3698
Au3 0.0000 0.3698 0.1302
Au4 0.0000 0.6302 0.8698
Na1 0.0000 0.6830 0.1830
Na2 0.0000 0.3170 0.8170
Na3 0.0000 0.8170 0.6830
Na4 0.0000 0.1830 0.3170

***

Entry 7:
# Y2MnAl

Crystalline Y2MnAl at its relaxed geometry (PBE, Alexandria).

final energy = -26.2 eV per cell

Lattice parameters (Å, degrees): 5.0981 5.0981 3.5959 90.00 90.00 90.02
Atoms (fractional coordinates):
Y1 0.5000 0.5000 0.0000
Y2 0.0000 0.0000 0.0000
Al1 0.5000 0.0000 0.5000
Mn1 0.0000 0.5000 0.5000

***

Entry 8:
# TlSiTc2

Crystalline TlSiTc2 at its relaxed geometry (PBE, Alexandria).

offset from the most stable computed form = 237 meV/atom

Lattice parameters (Å, degrees): 5.1600 5.1600 5.1600 144.55 123.37 68.61
Atoms (fractional coordinates):
Tc1 0.4637 0.4637 0.0000
Tc2 0.0363 0.0363 0.0000
Tl1 0.7500 0.2500 0.5000
Si1 0.2500 0.7500 0.5000

***

Entry 9:
# ReAsCl4

Crystalline ReAsCl4 at its relaxed geometry (PBE, Alexandria).

final energy = -15.5 eV per cell

Lattice parameters (Å, degrees): 5.7334 5.7334 5.7334 60.00 60.00 60.00
Atoms (fractional coordinates):
Re1 0.7500 0.7500 0.7500
Cl1 0.3760 0.3760 0.8721
Cl2 0.8721 0.3760 0.3760
Cl3 0.3760 0.8721 0.3760
Cl4 0.3760 0.3760 0.3760
As1 0.0000 0.0000 0.0000

***

Entry 10:
# TbPmTlSb

Crystalline TbPmTlSb at its relaxed geometry (PBE, Alexandria).

final energy = -18.0 eV per cell

Lattice parameters (Å, degrees): 5.4325 5.4325 5.4325 60.00 60.00 60.00
Atoms (fractional coordinates):
Sb1 0.5000 0.5000 0.5000
Pm1 0.7500 0.7500 0.7500
Tb1 0.2500 0.2500 0.2500
Tl1 0.0000 0.0000 0.0000

***

Entry 11:
# ZnInMo

Crystalline ZnInMo at its relaxed geometry (PBE, Alexandria).

offset from the most stable computed form = 0 meV/atom

Lattice parameters (Å, degrees): 4.5835 4.5835 2.8285 90.00 90.00 120.00
Atoms (fractional coordinates):
Mo1 0.6667 0.3333 0.3338
Zn1 0.3333 0.6667 0.8314
In1 0.0000 0.0000 0.8348

***

Entry 12:
# Y5Re

Crystalline Y5Re at its relaxed geometry (PBE, Alexandria).

offset from the most stable computed form = 118 meV/atom

Lattice parameters (Å, degrees): 8.5415 8.5415 5.3332 90.00 90.00 154.29
Atoms (fractional coordinates):
Y1 0.8864 0.1136 0.5000
Y2 0.3761 0.6239 0.0000
Y3 0.5346 0.4654 0.5000
Y4 0.6471 0.3529 0.0000
Y5 0.2153 0.7847 0.5000
Re1 0.0072 0.9928 0.0000

***

Entry 13:
# TbPuTlO6

Crystalline TbPuTlO6 at its relaxed geometry (PBE, Alexandria).

final energy = -141.9 eV per cell

Lattice parameters (Å, degrees): 5.6265 5.6265 9.8788 90.00 90.00 120.00
Atoms (fractional coordinates):
O1 0.6439 0.6742 0.6316
O2 0.3561 0.3258 0.3684
O3 0.3561 0.0302 0.1316
O4 0.9698 0.3258 0.1316
O5 0.9698 0.6439 0.3684
O6 0.0302 0.6742 0.8684
O7 0.6742 0.0302 0.3684
O8 0.3258 0.9698 0.6316
O9 0.0302 0.3561 0.6316
O10 0.3258 0.3561 0.8684
O11 0.6439 0.9698 0.8684
O12 0.6742 0.6439 0.1316
Tb1 0.0000 0.0000 0.5000
Tb2 0.0000 0.0000 0.0000
Tl1 0.3333 0.6667 0.2500
Tl2 0.6667 0.3333 0.7500
Pu1 0.3333 0.6667 0.7500
Pu2 0.6667 0.3333 0.2500

***

Entry 14:
# FeCoSb2

Crystalline FeCoSb2 at its relaxed geometry (PBE, Alexandria).

final energy = -22.7 eV per cell

Lattice parameters (Å, degrees): 7.7594 7.7594 7.7594 24.26 24.26 24.26
Atoms (fractional coordinates):
Sb1 0.9983 0.9983 0.9983
Sb2 0.5017 0.5017 0.5017
Fe1 0.7500 0.7500 0.7500
Co1 0.2500 0.2500 0.2500

***

Entry 15:
# CrIrPb

Crystalline CrIrPb at its relaxed geometry (PBE, Alexandria).

offset from the most stable computed form = 0 meV/atom

Lattice parameters (Å, degrees): 6.2407 6.2407 3.0914 75.66 75.66 28.68
Atoms (fractional coordinates):
Pb1 0.6676 0.6676 0.3324
Ir1 0.3606 0.3606 0.6394
Cr1 0.9718 0.9718 0.0282

***

Entry 16:
# Dy6AgPt5

Crystalline Dy6AgPt5 at its relaxed geometry (PBE, Alexandria).

final energy = -73.7 eV per cell

Lattice parameters (Å, degrees): 4.9690 7.0091 8.6116 114.01 106.77 90.00
Atoms (fractional coordinates):
Pt1 0.3290 0.3290 0.6580
Pt2 0.3425 0.8425 0.6850
Pt3 0.6575 0.1575 0.3150
Pt4 0.6710 0.6710 0.3419
Pt5 0.0000 0.5000 0.0000
Dy1 0.1699 0.4244 0.3397
Dy2 0.5001 0.2593 0.0000
Dy3 0.8301 0.5756 0.6603
Dy4 0.1698 0.9153 0.3397
Dy5 0.8302 0.0847 0.6603
Dy6 0.4999 0.7407 0.0000
Ag1 0.0000 0.0000 0.0000

***

Entry 17:
# AcMg3Ga3

Crystalline AcMg3Ga3 at its relaxed geometry (PBE, Alexandria).

final energy = -40.5 eV per cell

Lattice parameters (Å, degrees): 4.6532 7.3002 10.4067 115.35 90.00 90.00
Atoms (fractional coordinates):
Ga1 0.7500 0.9900 0.3554
Ga2 0.2500 0.6806 0.9097
Ga3 0.2500 0.2025 0.4512
Ga4 0.7500 0.3194 0.0903
Ga5 0.2500 0.0100 0.6446
Ga6 0.7500 0.7975 0.5488
Mg1 0.7500 0.7123 0.0610
Mg2 0.2500 0.0801 0.1416
Mg3 0.2500 0.6218 0.6256
Mg4 0.7500 0.3782 0.3744
Mg5 0.2500 0.2877 0.9390
Mg6 0.7500 0.9199 0.8584
Ac1 0.7500 0.3351 0.7105
Ac2 0.2500 0.6649 0.2895

***

Entry 18:
# Ta2CoAg2Se6

Crystalline Ta2CoAg2Se6 at its relaxed geometry (PBE, Alexandria).

final energy = -61.7 eV per cell

Lattice parameters (Å, degrees): 6.3409 6.3409 7.2324 96.17 96.17 122.24
Atoms (fractional coordinates):
Ta1 0.3701 0.6299 0.5000
Ta2 0.6299 0.3701 0.5000
Se1 0.3626 0.0274 0.6928
Se2 0.2471 0.2471 0.2490
Se3 0.6374 0.9726 0.3072
Se4 0.9726 0.6374 0.3072
Se5 0.7529 0.7529 0.7510
Se6 0.0274 0.3626 0.6928
Ag1 0.6369 0.3631 0.0000
Ag2 0.3631 0.6369 0.0000
Co1 0.0000 0.0000 0.5000

***

Entry 19:
# CsNa3Fe

Crystalline CsNa3Fe at its relaxed geometry (PBE, Alexandria).

offset from the most stable computed form = 0 meV/atom

Lattice parameters (Å, degrees): 6.0699 6.0699 6.0699 90.00 90.00 90.00
Atoms (fractional coordinates):
Cs1 0.5000 0.5000 0.5000
Na1 0.5000 0.0000 0.0000
Na2 0.0000 0.5000 0.0000
Na3 0.0000 0.0000 0.5000
Fe1 0.0000 0.0000 0.0000

***

Entry 20:
# RbTl2FeMo

Crystalline RbTl2FeMo at its relaxed geometry (PBE, Alexandria).

final energy = -21.1 eV per cell

Lattice parameters (Å, degrees): 5.2748 4.6760 5.2748 90.00 90.00 90.00
Atoms (fractional coordinates):
Fe1 0.0000 0.0000 0.0000
Mo1 0.0000 0.5000 0.0000
Rb1 0.5000 0.5000 0.5000
Tl1 0.5000 0.0000 0.0000
Tl2 0.0000 0.0000 0.5000